Entry 1:
The following is a DFT calculation (GGA-PBE) of Ag2TeRh after structural relaxation.

Unit cell a=3.4255 b=3.4255 c=6.5311 alpha=90.00 beta=90.00 gamma=90.00
Atoms (fractional coordinates):
Ag  0.0000  0.0000  0.0000
Ag  0.5000  0.5000  0.2249
Te  0.5000  0.5000  0.6721
Rh  0.0000  0.0000  0.4898

Output
- formation energy from raw total energies (eV/atom) = 0.03
- total energy (eV/cell) = -16.1
- symmetry = P4mm (99)


Entry 2:
The following is a DFT calculation (GGA-PBE) of Ag2TeRh after structural relaxation.

Unit cell a=7.8107 b=7.8107 c=5.3187 alpha=90.00 beta=90.00 gamma=90.00
Atoms (fractional coordinates):
Ag  0.2401  0.2500  0.1250
Ag  0.2500  0.7401  0.3750
Ag  0.2500  0.7599  0.8750
Ag  0.2599  0.2500  0.6250
Ag  0.7401  0.7500  0.6250
Ag  0.7500  0.2401  0.8750
Ag  0.7500  0.2599  0.3750
Ag  0.7599  0.7500  0.1250
Te  0.0000  0.0000  0.5000
Te  0.0000  0.5000  0.7500
Te  0.5000  0.0000  0.2500
Te  0.5000  0.5000  0.0000
Rh  0.0000  0.0000  0.0000
Rh  0.0000  0.5000  0.2500
Rh  0.5000  0.0000  0.7500
Rh  0.5000  0.5000  0.5000

Output
- formation energy from raw total energies (eV/atom) = 0.29
- total energy (eV/cell) = -60.2
- symmetry = I-42d (122)


Entry 3:
The following is a DFT calculation (GGA-PBE) of AgTe4Rh after structural relaxation.

Unit cell a=6.1930 b=6.1930 c=6.1930 alpha=60.00 beta=60.00 gamma=60.00
Atoms (fractional coordinates):
Ag  0.0000  0.0000  0.0000
Te  0.3754  0.3754  0.3754
Te  0.3754  0.3754  0.8738
Te  0.3754  0.8738  0.3754
Te  0.8738  0.3754  0.3754
Rh  0.7500  0.7500  0.7500

Output
- formation energy from raw total energies (eV/atom) = 0.89
- total energy (eV/cell) = -17.4
- symmetry = F-43m (216)


Entry 4:
The following is a DFT calculation (GGA-PBE) of Ag2TeRh after structural relaxation.

Unit cell a=3.0242 b=3.0242 c=30.1078 alpha=90.00 beta=90.00 gamma=120.00
Atoms (fractional coordinates):
Ag  0.0000  0.0000  0.2406
Ag  0.0000  0.0000  0.7594
Ag  0.3333  0.6667  0.4261
Ag  0.3333  0.6667  0.9072
Ag  0.6667  0.3333  0.0928
Ag  0.6667  0.3333  0.5739
Te  0.0000  0.0000  0.0000
Te  0.3333  0.6667  0.6667
Te  0.6667  0.3333  0.3333
Rh  0.0000  0.0000  0.5000
Rh  0.3333  0.6667  0.1667
Rh  0.6667  0.3333  0.8333

Output
- formation energy from raw total energies (eV/atom) = 0.37
- total energy (eV/cell) = -44.1
- symmetry = R-3m (166)


- Number 1 is which compound?
  Ag2TeRh